[1]
# Ac6TeRh2I3 PBE optimized geometry
data_Ac6TeRh2I3
_space_group_name_H-M_alt 'C 1 2/m 1'
_space_group_IT_number 12
_cell_length_a 7.919
_cell_length_b 13.693
_cell_length_c 8.914
_cell_angle_alpha 90.00
_cell_angle_beta 107.22
_cell_angle_gamma 90.00
loop_
_space_group_symop_operation_xyz
'x,y,z'
'-x,-y,-z'
'-x,y,-z'
'x,-y,z'
'x+1/2,y+1/2,z'
'-x+1/2,-y+1/2,-z'
'-x+1/2,y+1/2,-z'
'x+1/2,-y+1/2,z'
loop_
_atom_site_label
_atom_site_type_symbol
_atom_site_fract_x
_atom_site_fract_y
_atom_site_fract_z
Ac1 Ac 0.196 0.000 0.192
Ac2 Ac 0.250 0.184 0.807
Te1 Te 0.000 0.500 0.000
Rh1 Rh 0.000 0.167 0.000
I1 I 0.000 0.000 0.500
I2 I 0.000 0.342 0.500
# DOS(E_F) in states/eV/f.u.: 6.640
# Magnetization in μB per atom: 0.000
# Raw formation energy in eV/atom: -1.058


[2]
# RbZnHg2Pb PBE optimized geometry
data_RbZnHg2Pb
_space_group_name_H-M_alt 'P 4/m m m'
_space_group_IT_number 123
_space_group_name_Hall '-P 4 2'
_cell_length_a 5.493
_cell_length_b 5.493
_cell_length_c 5.474
_cell_angle_alpha 90.00
_cell_angle_beta 90.00
_cell_angle_gamma 90.00
loop_
_atom_site_label
_atom_site_type_symbol
_atom_site_fract_x
_atom_site_fract_y
_atom_site_fract_z
Rb1 Rb 0.000 0.000 0.000
Zn1 Zn 0.500 0.500 0.500
Hg1 Hg 0.000 0.500 0.500
Pb1 Pb 0.500 0.500 0.000
# DOS(E_F) in states/eV/f.u.: 3.319
# Magnetization in μB per atom: 0.000
# Formation enthalpy at 0 K in eV per formula unit: 0.1


Ordered final energy results: -4.986 -1.295; unit eV per atom.